No. 1
DFT (PBE) results for a relaxed BeReB2H crystal.

Cell lengths 3.2477, 3.2477, 3.6390 Å; angles 90.00, 90.00, 90.00 degrees
Element x y z (fractional)
Be (0.0000, 0.0000, 0.0000)
Re (0.5000, 0.5000, 0.0000)
B (0.0000, 0.5000, 0.5000)
B (0.5000, 0.0000, 0.5000)
H (0.5000, 0.5000, 0.5000)

DOS(E_F): 1.15 states/eV/cell
E_tot: -5.706 eV per atom
symmetry: P4/mmm (123)

No. 2
DFT (PBE) results for a relaxed BeSi2BH crystal.

Cell lengths 4.3818, 4.3818, 2.5603 Å; angles 90.00, 90.00, 90.00 degrees
Element x y z (fractional)
Be (0.0000, 0.0000, 0.0000)
Si (0.0000, 0.5000, 0.5000)
Si (0.5000, 0.0000, 0.5000)
B (0.5000, 0.5000, 0.5000)
H (0.5000, 0.5000, 0.0000)

DOS(E_F): 1.70 states/eV/cell
E_tot: -4.380 eV per atom
symmetry: P4/mmm (123)

No. 3
DFT (PBE) results for a relaxed TiBeB2H crystal.

Cell lengths 3.4557, 3.4557, 3.3881 Å; angles 90.00, 90.00, 90.00 degrees
Element x y z (fractional)
Ti (0.0000, 0.0000, 0.0000)
Be (0.5000, 0.5000, 0.5000)
B (0.0000, 0.5000, 0.5000)
B (0.5000, 0.0000, 0.5000)
H (0.5000, 0.5000, 0.0000)

DOS(E_F): 2.27 states/eV/cell
E_tot: -5.169 eV per atom
symmetry: P4/mmm (123)

No. 4
DFT (PBE) results for a relaxed Hf2Be3B crystal.

Cell lengths 3.4500, 3.4549, 6.1518 Å; angles 90.00, 90.00, 90.00 degrees
Element x y z (fractional)
Hf (0.0000, 0.0000, 0.0000)
Hf (0.5000, 0.0000, 0.4646)
Be (0.0000, 0.5000, 0.3060)
Be (0.0000, 0.5000, 0.6480)
Be (0.5000, 0.5000, 0.8329)
B (0.5000, 0.5000, 0.1497)

calculated formation energy: -366.5 meV/atom
DOS(E_F): 2.70 states/eV/cell
E_tot: -6.660 eV per atom
symmetry: Pmm2 (25)
energy above the most stable polymorph in this dataset: 0.0 kJ/mol of atoms

No. 5
DFT (PBE) results for a relaxed HfBeB crystal.

Cell lengths 3.3568, 3.4748, 5.8451 Å; angles 90.00, 90.00, 90.00 degrees
Element x y z (fractional)
Hf (0.0000, 0.0000, 0.0000)
Hf (0.5000, 0.0000, 0.5000)
Be (0.0000, 0.5000, 0.3219)
Be (0.0000, 0.5000, 0.6781)
B (0.5000, 0.5000, 0.1530)
B (0.5000, 0.5000, 0.8470)

calculated formation energy: -585.1 meV/atom
DOS(E_F): 3.57 states/eV/cell
E_tot: -7.371 eV per atom
symmetry: Pmmm (47)
energy above the most stable polymorph in this dataset: 3.0 kJ/mol of atoms

No. 6
DFT (PBE) results for a relaxed Hf2Be3B crystal.

Cell lengths 7.1383, 7.0011, 4.8664 Å; angles 71.39, 68.36, 40.25 degrees
Element x y z (fractional)
Hf (0.2447, 0.7553, 0.7553)
Hf (0.2500, 0.2500, 0.2500)
Hf (0.7500, 0.7500, 0.7500)
Hf (0.7553, 0.2447, 0.2447)
Be (0.1567, 0.6704, 0.3296)
Be (0.3274, 0.3274, 0.6726)
Be (0.3296, 0.8433, 0.1567)
Be (0.6704, 0.1567, 0.8433)
Be (0.6726, 0.6726, 0.3274)
Be (0.8433, 0.3296, 0.6704)
B (0.1669, 0.1669, 0.8331)
B (0.8331, 0.8331, 0.1669)

calculated formation energy: -346.3 meV/atom
DOS(E_F): 5.99 states/eV/cell
E_tot: -6.640 eV per atom
symmetry: Fmmm (69)
energy above the most stable polymorph in this dataset: 2.0 kJ/mol of atoms

No. 7
DFT (PBE) results for a relaxed Hf2BeB crystal.

Cell lengths 5.0410, 3.3853, 7.1177 Å; angles 90.00, 110.61, 90.00 degrees
Element x y z (fractional)
Hf (0.2114, 0.2500, 0.4306)
Hf (0.2209, 0.2500, 0.9277)
Hf (0.7791, 0.7500, 0.0723)
Hf (0.7886, 0.7500, 0.5694)
Be (0.3906, 0.7500, 0.2250)
Be (0.6093, 0.2500, 0.7750)
B (0.3757, 0.7500, 0.7153)
B (0.6243, 0.2500, 0.2847)

calculated formation energy: -404.5 meV/atom
DOS(E_F): 7.25 states/eV/cell
E_tot: -7.982 eV per atom
symmetry: P2_1/m (11)
energy above the most stable polymorph in this dataset: 0.0 kJ/mol of atoms

No. 8
DFT (PBE) results for a relaxed Hf2BeB crystal.

Cell lengths 6.0979, 6.0979, 6.0979 Å; angles 90.00, 90.00, 90.00 degrees
Element x y z (fractional)
Hf (0.2500, 0.2500, 0.2500)
Hf (0.2500, 0.2500, 0.7500)
Hf (0.2500, 0.7500, 0.2500)
Hf (0.2500, 0.7500, 0.7500)
Hf (0.7500, 0.2500, 0.2500)
Hf (0.7500, 0.2500, 0.7500)
Hf (0.7500, 0.7500, 0.2500)
Hf (0.7500, 0.7500, 0.7500)
Be (0.0000, 0.0000, 0.0000)
Be (0.0000, 0.5000, 0.5000)
Be (0.5000, 0.0000, 0.5000)
Be (0.5000, 0.5000, 0.0000)
B (0.0000, 0.0000, 0.5000)
B (0.0000, 0.5000, 0.0000)
B (0.5000, 0.0000, 0.0000)
B (0.5000, 0.5000, 0.5000)

calculated formation energy: 74.8 meV/atom
DOS(E_F): 15.27 states/eV/cell
E_tot: -7.503 eV per atom
symmetry: Fm-3m (225)
energy above the most stable polymorph in this dataset: 46.2 kJ/mol of atoms

No. 9
DFT (PBE) results for a relaxed Hf3BeB4 crystal.

Cell lengths 3.5166, 4.6807, 12.0880 Å; angles 90.00, 90.00, 90.00 degrees
Element x y z (fractional)
Hf (0.0000, 0.0000, 0.0000)
Hf (0.0000, 0.5000, 0.1863)
Hf (0.0000, 0.5000, 0.8137)
Hf (0.5000, 0.0000, 0.3137)
Hf (0.5000, 0.0000, 0.6863)
Hf (0.5000, 0.5000, 0.5000)
Be (0.0000, 0.0000, 0.5000)
Be (0.5000, 0.5000, 0.0000)
B (0.0000, 0.3195, 0.3764)
B (0.0000, 0.3195, 0.6236)
B (0.0000, 0.6805, 0.3764)
B (0.0000, 0.6805, 0.6236)
B (0.5000, 0.1805, 0.1236)
B (0.5000, 0.1805, 0.8764)
B (0.5000, 0.8195, 0.1236)
B (0.5000, 0.8195, 0.8764)

calculated formation energy: -442.2 meV/atom
DOS(E_F): 4.45 states/eV/cell
E_tot: -7.979 eV per atom
symmetry: Immm (71)

No. 10
DFT (PBE) results for a relaxed HfBeB crystal.

Cell lengths 3.3674, 5.8661, 6.8896 Å; angles 90.00, 90.00, 90.00 degrees
Element x y z (fractional)
Hf (0.0000, 0.0000, 0.2453)
Hf (0.0000, 0.0000, 0.7547)
Hf (0.5000, 0.5000, 0.2547)
Hf (0.5000, 0.5000, 0.7453)
Be (0.0000, 0.3257, 0.0000)
Be (0.0000, 0.6743, 0.0000)
Be (0.5000, 0.1743, 0.5000)
Be (0.5000, 0.8257, 0.5000)
B (0.0000, 0.3442, 0.5000)
B (0.0000, 0.6558, 0.5000)
B (0.5000, 0.1558, 0.0000)
B (0.5000, 0.8442, 0.0000)

calculated formation energy: -585.4 meV/atom
DOS(E_F): 3.91 states/eV/cell
E_tot: -7.371 eV per atom
symmetry: Immm (71)
energy above the most stable polymorph in this dataset: 2.9 kJ/mol of atoms

No. 11
DFT (PBE) results for a relaxed Hf2BeB crystal.

Cell lengths 3.4786, 3.4786, 17.9130 Å; angles 90.00, 90.00, 120.00 degrees
Element x y z (fractional)
Hf (0.0000, 0.0000, 0.2369)
Hf (0.0000, 0.0000, 0.7631)
Hf (0.3333, 0.6667, 0.4298)
Hf (0.3333, 0.6667, 0.9035)
Hf (0.6667, 0.3333, 0.0965)
Hf (0.6667, 0.3333, 0.5702)
Be (0.0000, 0.0000, 0.0000)
Be (0.3333, 0.6667, 0.6667)
Be (0.6667, 0.3333, 0.3333)
B (0.0000, 0.0000, 0.5000)
B (0.3333, 0.6667, 0.1667)
B (0.6667, 0.3333, 0.8333)

calculated formation energy: -137.8 meV/atom
DOS(E_F): 5.74 states/eV/cell
E_tot: -7.715 eV per atom
symmetry: R-3m (166)
energy above the most stable polymorph in this dataset: 25.7 kJ/mol of atoms

No. 12
DFT (PBE) results for a relaxed HfBeB crystal.

Cell lengths 3.4302, 3.4302, 6.5586 Å; angles 90.00, 90.00, 90.00 degrees
Element x y z (fractional)
Hf (0.0000, 0.0000, 0.0000)
Hf (0.5000, 0.5000, 0.5000)
Be (0.0000, 0.0000, 0.6329)
Be (0.5000, 0.5000, 0.1329)
B (0.0000, 0.0000, 0.3638)
B (0.5000, 0.5000, 0.8638)

calculated formation energy: 359.1 meV/atom
DOS(E_F): 3.60 states/eV/cell
E_tot: -6.427 eV per atom
symmetry: I4mm (107)
energy above the most stable polymorph in this dataset: 94.1 kJ/mol of atoms

No. 13
DFT (PBE) results for a relaxed Hf2BeB2 crystal.

Cell lengths 5.9907, 5.9907, 3.4153 Å; angles 90.00, 90.00, 90.00 degrees
Element x y z (fractional)
Hf (0.1842, 0.3158, 0.0000)
Hf (0.3158, 0.8158, 0.0000)
Hf (0.6842, 0.1842, 0.0000)
Hf (0.8158, 0.6842, 0.0000)
Be (0.0000, 0.0000, 0.5000)
Be (0.5000, 0.5000, 0.5000)
B (0.1038, 0.6038, 0.5000)
B (0.3962, 0.1038, 0.5000)
B (0.6038, 0.8962, 0.5000)
B (0.8962, 0.3962, 0.5000)

calculated formation energy: -586.9 meV/atom
DOS(E_F): 1.52 states/eV/cell
E_tot: -7.984 eV per atom
symmetry: P4/mbm (127)

No. 14
DFT (PBE) results for a relaxed Hf2BeB3 crystal.

Cell lengths 3.2496, 3.4513, 5.6611 Å; angles 90.00, 90.00, 90.00 degrees
Element x y z (fractional)
Hf (0.0000, 0.0000, 0.0000)
Hf (0.5000, 0.0000, 0.4918)
Be (0.0000, 0.5000, 0.6647)
B (0.0000, 0.5000, 0.3214)
B (0.5000, 0.5000, 0.1597)
B (0.5000, 0.5000, 0.8413)

calculated formation energy: -840.9 meV/atom
DOS(E_F): 0.51 states/eV/cell
E_tot: -8.118 eV per atom
symmetry: Pmm2 (25)

No. 15
DFT (PBE) results for a relaxed Hf2Be2B3 crystal.

Cell lengths 7.5885, 7.5885, 5.5856 Å; angles 90.00, 90.00, 153.60 degrees
Element x y z (fractional)
Hf (0.0526, 0.9474, 0.7500)
Hf (0.1543, 0.8457, 0.2500)
Hf (0.8457, 0.1543, 0.7500)
Hf (0.9474, 0.0526, 0.2500)
Be (0.3195, 0.6805, 0.0695)
Be (0.3195, 0.6805, 0.4305)
Be (0.6805, 0.3195, 0.5695)
Be (0.6805, 0.3195, 0.9305)
B (0.2203, 0.7797, 0.7500)
B (0.4477, 0.5523, 0.5842)
B (0.4477, 0.5523, 0.9158)
B (0.5523, 0.4477, 0.0842)
B (0.5523, 0.4477, 0.4158)
B (0.7797, 0.2203, 0.2500)

calculated formation energy: -578.9 meV/atom
DOS(E_F): 3.20 states/eV/cell
E_tot: -7.349 eV per atom
symmetry: Cmcm (63)

No. 16
DFT (PBE) results for a relaxed HfBeB crystal.

Cell lengths 3.3809, 3.3809, 3.4291 Å; angles 90.00, 90.00, 120.00 degrees
Element x y z (fractional)
Hf (0.0000, 0.0000, 0.0000)
Be (0.3333, 0.6667, 0.5000)
B (0.6667, 0.3333, 0.5000)

calculated formation energy: -615.9 meV/atom
DOS(E_F): 1.23 states/eV/cell
E_tot: -7.402 eV per atom
symmetry: P-6m2 (187)
energy above the most stable polymorph in this dataset: 0.0 kJ/mol of atoms

No. 17
DFT (PBE) results for a relaxed Hf4Be2B crystal.

Cell lengths 4.4874, 4.4874, 12.3859 Å; angles 90.00, 90.00, 90.00 degrees
Element x y z (fractional)
Hf (0.0000, 0.0000, 0.1846)
Hf (0.0000, 0.0000, 0.8154)
Hf (0.0000, 0.5000, 0.0000)
Hf (0.0000, 0.5000, 0.5000)
Hf (0.5000, 0.0000, 0.0000)
Hf (0.5000, 0.0000, 0.5000)
Hf (0.5000, 0.5000, 0.3154)
Hf (0.5000, 0.5000, 0.6846)
Be (0.0000, 0.0000, 0.3880)
Be (0.0000, 0.0000, 0.6120)
Be (0.5000, 0.5000, 0.1120)
Be (0.5000, 0.5000, 0.8880)
B (0.0000, 0.0000, 0.0000)
B (0.5000, 0.5000, 0.5000)

calculated formation energy: 92.5 meV/atom
DOS(E_F): 6.70 states/eV/cell
E_tot: -7.614 eV per atom
symmetry: I4/mmm (139)

No. 18
DFT (PBE) results for a relaxed Hf2BeB crystal.

Cell lengths 6.5277, 6.5277, 5.9914 Å; angles 90.00, 90.00, 90.00 degrees
Element x y z (fractional)
Hf (0.2208, 0.2500, 0.1250)
Hf (0.2500, 0.7208, 0.3750)
Hf (0.2500, 0.7792, 0.8750)
Hf (0.2792, 0.2500, 0.6250)
Hf (0.7208, 0.7500, 0.6250)
Hf (0.7500, 0.2208, 0.8750)
Hf (0.7500, 0.2792, 0.3750)
Hf (0.7792, 0.7500, 0.1250)
Be (0.0000, 0.0000, 0.5000)
Be (0.0000, 0.5000, 0.7500)
Be (0.5000, 0.0000, 0.2500)
Be (0.5000, 0.5000, 0.0000)
B (0.0000, 0.0000, 0.0000)
B (0.0000, 0.5000, 0.2500)
B (0.5000, 0.0000, 0.7500)
B (0.5000, 0.5000, 0.5000)

calculated formation energy: 254.0 meV/atom
DOS(E_F): 4.49 states/eV/cell
E_tot: -7.324 eV per atom
symmetry: I-42d (122)
energy above the most stable polymorph in this dataset: 63.5 kJ/mol of atoms

No. 19
DFT (PBE) results for a relaxed HfBeB4 crystal.

Cell lengths 5.7029, 11.0534, 3.2431 Å; angles 90.00, 90.00, 90.00 degrees
Element x y z (fractional)
Hf (0.1284, 0.1515, 0.0000)
Hf (0.3716, 0.6515, 0.0000)
Hf (0.6284, 0.3485, 0.0000)
Hf (0.8716, 0.8485, 0.0000)
Be (0.1332, 0.4145, 0.0000)
Be (0.3668, 0.9145, 0.0000)
Be (0.6332, 0.0855, 0.0000)
Be (0.8668, 0.5855, 0.0000)
B (0.0261, 0.6933, 0.5000)
B (0.1144, 0.5471, 0.5000)
B (0.1338, 0.9681, 0.5000)
B (0.2130, 0.8139, 0.5000)
B (0.2870, 0.3139, 0.5000)
B (0.3662, 0.4681, 0.5000)
B (0.3856, 0.0471, 0.5000)
B (0.4739, 0.1933, 0.5000)
B (0.5261, 0.8067, 0.5000)
B (0.6144, 0.9529, 0.5000)
B (0.6338, 0.5319, 0.5000)
B (0.7130, 0.6861, 0.5000)
B (0.7870, 0.1861, 0.5000)
B (0.8662, 0.0319, 0.5000)
B (0.8856, 0.4529, 0.5000)
B (0.9739, 0.3067, 0.5000)

calculated formation energy: -473.7 meV/atom
DOS(E_F): 4.86 states/eV/cell
E_tot: -7.205 eV per atom
symmetry: Pbam (55)

No. 20
DFT (PBE) results for a relaxed HfBeB crystal.

Cell lengths 3.3781, 3.3781, 6.8623 Å; angles 90.00, 90.00, 120.00 degrees
Element x y z (fractional)
Hf (0.0000, 0.0000, 0.0000)
Hf (0.0000, 0.0000, 0.5000)
Be (0.3333, 0.6667, 0.2500)
Be (0.6667, 0.3333, 0.7500)
B (0.3333, 0.6667, 0.7500)
B (0.6667, 0.3333, 0.2500)

calculated formation energy: -612.5 meV/atom
DOS(E_F): 2.89 states/eV/cell
E_tot: -7.398 eV per atom
symmetry: P6_3/mmc (194)
energy above the most stable polymorph in this dataset: 0.3 kJ/mol of atoms

No. 21
DFT (PBE) results for a relaxed HfBe2BIr crystal.

Cell lengths 4.1226, 4.1226, 4.0088 Å; angles 90.00, 90.00, 90.00 degrees
Element x y z (fractional)
Hf (0.0000, 0.0000, 0.0000)
Be (0.0000, 0.5000, 0.5000)
Be (0.5000, 0.0000, 0.5000)
B (0.5000, 0.5000, 0.0000)
Ir (0.5000, 0.5000, 0.5000)

calculated formation energy: 131.2 meV/atom
DOS(E_F): 0.98 states/eV/cell
E_tot: -6.458 eV per atom
symmetry: P4/mmm (123)

No. 22
DFT (PBE) results for a relaxed Hf2MnBeB crystal.

Cell lengths 4.6386, 4.6386, 3.3374 Å; angles 90.00, 90.00, 90.00 degrees
Element x y z (fractional)
Hf (0.0000, 0.5000, 0.0000)
Hf (0.5000, 0.0000, 0.0000)
Mn (0.0000, 0.0000, 0.5000)
Be (0.5000, 0.5000, 0.0000)
B (0.5000, 0.5000, 0.5000)

calculated formation energy: 480.5 meV/atom
DOS(E_F): 5.41 states/eV/cell
E_tot: -7.416 eV per atom
symmetry: P4/mmm (123)

No. 23
DFT (PBE) results for a relaxed Hf2BeNb2B4 crystal.

Cell lengths 5.3192, 5.3192, 5.3192 Å; angles 116.51, 116.51, 96.16 degrees
Element x y z (fractional)
Hf (0.2500, 0.7500, 0.5000)
Hf (0.7500, 0.2500, 0.5000)
Be (0.0000, 0.0000, 0.0000)
Nb (0.3147, 0.3147, 0.0000)
Nb (0.6853, 0.6853, 0.0000)
B (0.2338, 0.2338, 0.4676)
B (0.2338, 0.7662, 0.0000)
B (0.7662, 0.2338, 0.0000)
B (0.7662, 0.7662, 0.5324)

calculated formation energy: 262.3 meV/atom
DOS(E_F): 6.13 states/eV/cell
E_tot: -7.569 eV per atom
symmetry: I4/mmm (139)

No. 24
DFT (PBE) results for a relaxed HfBeB2Pd crystal.

Cell lengths 4.3505, 4.3505, 4.9681 Å; angles 90.00, 90.00, 90.00 degrees
Element x y z (fractional)
Hf (0.0000, 0.0000, 0.0000)
Be (0.5000, 0.5000, 0.5000)
B (0.0000, 0.5000, 0.0000)
B (0.5000, 0.0000, 0.0000)
Pd (0.0000, 0.0000, 0.5000)

calculated formation energy: 1788.8 meV/atom
DOS(E_F): 1.81 states/eV/cell
E_tot: -4.657 eV per atom
symmetry: P4/mmm (123)

No. 25
DFT (PBE) results for a relaxed Hf2BeB2Ru5 crystal.

Cell lengths 9.1878, 9.1878, 3.0568 Å; angles 90.00, 90.00, 90.00 degrees
Element x y z (fractional)
Hf (0.1752, 0.3248, 0.0000)
Hf (0.3248, 0.8248, 0.0000)
Hf (0.6752, 0.1752, 0.0000)
Hf (0.8248, 0.6752, 0.0000)
Be (0.0000, 0.0000, 0.0000)
Be (0.5000, 0.5000, 0.0000)
B (0.1275, 0.6275, 0.0000)
B (0.3725, 0.1275, 0.0000)
B (0.6275, 0.8725, 0.0000)
B (0.8725, 0.3725, 0.0000)
Ru (0.0000, 0.5000, 0.5000)
Ru (0.0701, 0.7920, 0.5000)
Ru (0.2080, 0.0701, 0.5000)
Ru (0.2920, 0.5701, 0.5000)
Ru (0.4299, 0.2920, 0.5000)
Ru (0.5000, 0.0000, 0.5000)
Ru (0.5701, 0.7080, 0.5000)
Ru (0.7080, 0.4299, 0.5000)
Ru (0.7920, 0.9299, 0.5000)
Ru (0.9299, 0.2080, 0.5000)

calculated formation energy: -582.0 meV/atom
DOS(E_F): 18.96 states/eV/cell
E_tot: -8.919 eV per atom
symmetry: P4/mbm (127)

Values of calculated volume, in order: 7.68; 9.83; 8.09; 12.22; 11.36; 12.15; 14.21; 14.17; 12.44; 11.34; 15.64; 12.86; 12.26; 10.58; 10.21; 11.32; 17.82; 15.96; 8.52; 11.30; 13.63; 14.36; 12.37; 18.81; 12.90, all in A^3/atom.